Computed, not measured: an optimized crystal structure of Li2CrRe at the PBE-GGA level of DFT.

ρ, g/cm3: 8.124
E_form, kJ/mol of atoms: 79.0
Total magnetic moment, μB/f.u.: 1.29
E above lowest polymorph, meV per atom: 570
Calculated total energy, eV for the cell shown: -22.624

POSCAR file:
```
Li2CrRe
1.0
4.594 0.000 0.000
0.000 4.594 0.000
0.000 0.000 2.441
Cr Li Re
1 2 1
Direct
0.000 0.500 0.500
0.500 0.500 0.000
0.000 0.000 0.000
0.500 0.000 0.500
```